Li2Mg2Si: optimized geometry, PBE.

Geometry as CIF:
```
data_Li2Mg2Si
_chemical_formula_sum 'Li4 Mg4 Si2'
_space_group_name_H-M_alt 'I 4/m m m'
_space_group_IT_number 139
_space_group_name_Hall '-I 4 2'
_cell_length_a 3.4774
_cell_length_b 3.4774
_cell_length_c 16.3109
_cell_angle_alpha 90.00
_cell_angle_beta 90.00
_cell_angle_gamma 90.00
loop_
_atom_site_label
_atom_site_type_symbol
_atom_site_fract_x
_atom_site_fract_y
_atom_site_fract_z
Li1 Li 0.0000 0.5000 0.2500
Mg1 Mg 0.0000 0.0000 0.0969
Si1 Si 0.0000 0.0000 0.5000
```


LiMg2Si: optimized geometry, PBE.

Geometry as CIF:
```
data_LiMg2Si
_chemical_formula_sum 'Li2 Mg4 Si2'
_space_group_name_H-M_alt 'C 1 2/m 1'
_space_group_IT_number 12
_cell_length_a 9.1583
_cell_length_b 3.1997
_cell_length_c 5.2543
_cell_angle_alpha 90.00
_cell_angle_beta 99.32
_cell_angle_gamma 90.00
loop_
_space_group_symop_operation_xyz
'x,y,z'
'-x,-y,-z'
'-x,y,-z'
'x,-y,z'
'x+1/2,y+1/2,z'
'-x+1/2,-y+1/2,-z'
'-x+1/2,y+1/2,-z'
'x+1/2,-y+1/2,z'
loop_
_atom_site_label
_atom_site_type_symbol
_atom_site_fract_x
_atom_site_fract_y
_atom_site_fract_z
Li1 Li 0.0000 0.0000 0.0000
Mg1 Mg 0.2398 0.0000 0.7403
Si1 Si 0.0000 0.5000 0.5000
```


LiMgSi: optimized geometry, PBE.

Geometry as CIF:
```
data_LiMgSi
_chemical_formula_sum 'Li4 Mg4 Si4'
_space_group_name_H-M_alt 'C 1 2/m 1'
_space_group_IT_number 12
_cell_length_a 5.8594
_cell_length_b 7.1280
_cell_length_c 5.5876
_cell_angle_alpha 90.00
_cell_angle_beta 112.16
_cell_angle_gamma 90.00
loop_
_space_group_symop_operation_xyz
'x,y,z'
'-x,-y,-z'
'-x,y,-z'
'x,-y,z'
'x+1/2,y+1/2,z'
'-x+1/2,-y+1/2,-z'
'-x+1/2,y+1/2,-z'
'x+1/2,-y+1/2,z'
loop_
_atom_site_label
_atom_site_type_symbol
_atom_site_fract_x
_atom_site_fract_y
_atom_site_fract_z
Li1 Li 0.0000 0.1795 0.0000
Mg1 Mg 0.0000 0.2838 0.5000
Si1 Si 0.1908 0.5000 0.2041
```


LiMg2Si: optimized geometry, PBE.

Geometry as CIF:
```
data_LiMg2Si
_chemical_formula_sum 'Li2 Mg4 Si2'
_space_group_name_H-M_alt 'C 1 2/m 1'
_space_group_IT_number 12
_cell_length_a 5.8912
_cell_length_b 9.3443
_cell_length_c 2.8933
_cell_angle_alpha 90.00
_cell_angle_beta 110.66
_cell_angle_gamma 90.00
loop_
_space_group_symop_operation_xyz
'x,y,z'
'-x,-y,-z'
'-x,y,-z'
'x,-y,z'
'x+1/2,y+1/2,z'
'-x+1/2,-y+1/2,-z'
'-x+1/2,y+1/2,-z'
'x+1/2,-y+1/2,z'
loop_
_atom_site_label
_atom_site_type_symbol
_atom_site_fract_x
_atom_site_fract_y
_atom_site_fract_z
Li1 Li 0.0000 0.0000 0.0000
Mg1 Mg 0.2500 0.2500 0.5000
Si1 Si 0.0000 0.5000 0.0000
```


Li14MgSi4: optimized geometry, PBE.

Geometry as CIF:
```
data_Li14MgSi4
_chemical_formula_sum 'Li56 Mg4 Si16'
_space_group_name_H-M_alt 'I -4 2 d'
_space_group_IT_number 122
_space_group_name_Hall 'I -4 2bw'
_cell_length_a 10.6376
_cell_length_b 10.6376
_cell_length_c 10.6524
_cell_angle_alpha 90.00
_cell_angle_beta 90.00
_cell_angle_gamma 90.00
loop_
_atom_site_label
_atom_site_type_symbol
_atom_site_fract_x
_atom_site_fract_y
_atom_site_fract_z
Li1 Li 0.0379 0.1284 0.2302
Li2 Li 0.0982 0.1249 0.5856
Li3 Li 0.1243 0.7500 0.6250
Li4 Li 0.1565 0.7166 0.2516
Mg1 Mg 0.0000 0.0000 0.0000
Si1 Si 0.0412 0.2043 0.8317
```


LiMgSi: optimized geometry, PBE.

Geometry as CIF:
```
data_LiMgSi
_chemical_formula_sum 'Li2 Mg2 Si2'
_space_group_name_H-M_alt 'I m m 2'
_space_group_IT_number 44
_cell_length_a 3.1328
_cell_length_b 4.0636
_cell_length_c 8.0227
_cell_angle_alpha 90.00
_cell_angle_beta 90.00
_cell_angle_gamma 90.00
loop_
_space_group_symop_operation_xyz
'x,y,z'
'-x,-y,z'
'-x,y,z'
'x,-y,z'
'x+1/2,y+1/2,z+1/2'
'-x+1/2,-y+1/2,z+1/2'
'-x+1/2,y+1/2,z+1/2'
'x+1/2,-y+1/2,z+1/2'
loop_
_atom_site_label
_atom_site_type_symbol
_atom_site_fract_x
_atom_site_fract_y
_atom_site_fract_z
Li1 Li 0.0000 0.0000 0.0000
Mg1 Mg 0.0000 0.0000 0.6757
Si1 Si 0.0000 0.0000 0.3337
```


Li3MgSi: optimized geometry, PBE.

Geometry as CIF:
```
data_Li3MgSi
_chemical_formula_sum 'Li24 Mg8 Si8'
_space_group_name_H-M_alt 'C 1 2/c 1'
_space_group_IT_number 15
_cell_length_a 11.3419
_cell_length_b 9.5289
_cell_length_c 6.7815
_cell_angle_alpha 90.00
_cell_angle_beta 98.03
_cell_angle_gamma 90.00
loop_
_space_group_symop_operation_xyz
'x,y,z'
'-x,-y,-z'
'-x,y,-z+1/2'
'x,-y,z+1/2'
'x+1/2,y+1/2,z'
'-x+1/2,-y+1/2,-z'
'-x+1/2,y+1/2,-z+1/2'
'x+1/2,-y+1/2,z+1/2'
loop_
_atom_site_label
_atom_site_type_symbol
_atom_site_fract_x
_atom_site_fract_y
_atom_site_fract_z
Li1 Li 0.1353 0.2042 0.0579
Li2 Li 0.1784 0.1743 0.6217
Li3 Li 0.2076 0.4988 0.1204
Mg1 Mg 0.0000 0.0207 0.2500
Mg2 Mg 0.0000 0.3905 0.7500
Si1 Si 0.0826 0.3386 0.3722
```


Li2Mg2Si: optimized geometry, PBE.

Geometry as CIF:
```
data_Li2Mg2Si
_chemical_formula_sum 'Li4 Mg4 Si2'
_space_group_name_H-M_alt 'P 4/m b m'
_space_group_IT_number 127
_space_group_name_Hall '-P 4 2ab'
_cell_length_a 6.8653
_cell_length_b 6.8653
_cell_length_c 4.4714
_cell_angle_alpha 90.00
_cell_angle_beta 90.00
_cell_angle_gamma 90.00
loop_
_atom_site_label
_atom_site_type_symbol
_atom_site_fract_x
_atom_site_fract_y
_atom_site_fract_z
Li1 Li 0.1635 0.3365 0.0000
Mg1 Mg 0.1479 0.6479 0.5000
Si1 Si 0.0000 0.0000 0.5000
```


no.,formation energy without anion corrections (meV per atom),Fermi-level density of states (states/eV/atom)
1,172,0.392
2,16,0.332
3,-144,0.075
4,44,0.277
5,-248,0.077
6,-89,0.146
7,-85,0.328
8,91,0.374